VASP calculation (PBE-GGA) on a relaxed BaSr2LiCo crystal.

Geometry as POSCAR:
```
BaSr2LiCo
1.0
6.832 0.000 0.000
0.000 4.777 0.000
0.000 0.000 6.832
Ba Sr Co Li
1 2 1 1
Cartesian
0.000 0.000 0.000 Ba
3.416 0.000 0.000 Sr
0.000 0.000 3.416 Sr
0.000 2.389 0.000 Co
3.416 2.389 3.416 Li
```

Results
- symmetry = P4/mmm (123)
- ΔE to the lowest computed polymorph (eV/atom) = 0.738
- energy of formation from the pure elements (eV/atom) = 0.98